Version A
CrSi2I2 | GGA-PBE | optimized geometry

It has space group P4/mbm (No. 127), with a = 7.1346 Å, b = 7.1346 Å, c = 5.4257 Å, α = 90.00°, β = 90.00° and γ = 90.00°. The asymmetric unit holds Cr at (0.0000, 0.0000, 0.0000), Si at (0.2479, 0.2521, 0.0000) and I at (0.1878, 0.3122, 0.5000).

The calculation puts the density of states at the Fermi level at 7.555 states/eV/cell. The crystal system is tetragonal.

Version B
CrSi2I2 | GGA-PBE | optimized geometry

It has space group I4/mmm (No. 139), with a = 6.0471 Å, b = 6.0471 Å, c = 7.4076 Å, α = 90.00°, β = 90.00° and γ = 90.00°. The asymmetric unit holds Cr at (0.0000, 0.0000, 0.0000), Si at (0.0000, 0.0000, 0.3385) and I at (0.0000, 0.5000, 0.2500).

The calculation puts the density of states at the Fermi level at 4.083 states/eV/cell. The crystal system is tetragonal.

How do the structures above rank in stability at the extremes? version A comes first and version B comes last.